First-principles (GGA-PBE) data for a relaxed structure of NpSnHgO6, as listed in Alexandria via LeMat-Bulk.

Cell: 5.5502 5.5502 9.9469 Å, 90.00 90.00 120.00°
Closest atoms and distances in Å follow each position.
Positions (direct):
1 Np 0.3333 0.6667 0.2500  6 O 2.09
2 Np 0.6667 0.3333 0.7500  6 O 2.09
3 Sn 0.3333 0.6667 0.7500  6 O 2.11
4 Sn 0.6667 0.3333 0.2500  6 O 2.11
5 Hg 0.0000 0.0000 0.0000  6 O 2.42
6 Hg 0.0000 0.0000 0.5000  6 O 2.42
7 O 0.0021 0.3603 0.1383  1 Np 2.09, 1 Sn 2.11
8 O 0.0021 0.6418 0.3617  1 Np 2.09, 1 Sn 2.11
9 O 0.3582 0.3603 0.3617  1 Np 2.09, 1 Sn 2.11
10 O 0.3582 0.9979 0.1383  1 Np 2.09, 1 Sn 2.11
11 O 0.3603 0.0021 0.6383  1 Np 2.09, 1 Sn 2.11
12 O 0.3603 0.3582 0.8617  1 Np 2.09, 1 Sn 2.11
13 O 0.6397 0.6418 0.1383  1 Np 2.09, 1 Sn 2.11
14 O 0.6397 0.9979 0.3617  1 Np 2.09, 1 Sn 2.11
15 O 0.6418 0.0021 0.8617  1 Np 2.09, 1 Sn 2.11
16 O 0.6418 0.6397 0.6383  1 Np 2.09, 1 Sn 2.11
17 O 0.9979 0.3582 0.6383  1 Np 2.09, 1 Sn 2.11
18 O 0.9979 0.6397 0.8617  1 Np 2.09, 1 Sn 2.11

Output
Size of the total moment, μB/atom: 0.111
Final energy, eV/atom: -6.915
Crystal system: trigonal
DOS at the Fermi energy, states/eV per atom: 0.2153
ΔE_f (raw), eV per atom: -1.69